La2Sn3Rh2 | GGA-PBE | optimized geometry

Unit cell a=4.538 b=7.493 c=10.293 alpha=90.00 beta=102.74 gamma=90.00
Positions (direct):
1 Sn 0.788 0.250 0.575
2 Sn 0.569 0.443 0.138
3 Sn 0.431 0.943 0.862
4 Sn 0.431 0.557 0.862
5 Sn 0.212 0.750 0.425
6 Sn 0.569 0.057 0.138
7 La 0.831 0.750 0.663
8 La 0.951 0.250 0.903
9 La 0.049 0.750 0.097
10 La 0.169 0.250 0.337
11 Rh 0.700 0.542 0.401
12 Rh 0.700 0.958 0.401
13 Rh 0.300 0.042 0.599
14 Rh 0.300 0.458 0.599

Summary:
**Formation enthalpy at 0 K**: -497 kJ/mol of formula units
**Density of states at the Fermi level**: 4.95 states/eV/f.u.
**Symmetry**: No. 63

La5SnRh2 | GGA-PBE | optimized geometry

Unit cell a=8.134 b=8.134 c=9.077 alpha=116.62 beta=116.62 gamma=90.00
Positions (direct):
1 Sn 0.250 0.250 0.500
2 Sn 0.750 0.750 0.500
3 La 0.204 0.025 0.728
4 La 0.975 0.475 0.272
5 La 0.525 0.704 0.728
6 La 0.475 0.296 0.272
7 La 0.500 0.500 0.000
8 La 0.296 0.796 0.272
9 La 0.796 0.975 0.272
10 La 0.025 0.525 0.728
11 La 0.000 0.000 0.000
12 La 0.704 0.204 0.728
13 Rh 0.140 0.360 0.000
14 Rh 0.860 0.640 0.000
15 Rh 0.360 0.860 0.000
16 Rh 0.640 0.140 0.000

Summary:
**Formation enthalpy at 0 K**: -515 kJ/mol of formula units
**Density of states at the Fermi level**: 8.89 states/eV/f.u.
**Symmetry**: No. 140

La2Sn3Rh | GGA-PBE | optimized geometry

Unit cell a=4.845 b=6.186 c=6.298 alpha=75.67 beta=67.38 gamma=66.95
Positions (direct):
1 La 0.429 0.830 0.312
2 La 0.547 0.192 0.714
3 Sn 0.875 0.602 0.648
4 Sn 0.164 0.746 0.925
5 Sn 0.806 0.261 0.126
6 Rh 0.178 0.368 0.276

Summary:
**Formation enthalpy at 0 K**: -426 kJ/mol of formula units
**Density of states at the Fermi level**: 4.48 states/eV/f.u.
**ΔE to the lowest computed polymorph**: 0.00 eV/f.u.
**Symmetry**: No. 8

La3Sn6Rh5 | GGA-PBE | optimized geometry

Unit cell a=4.487 b=9.870 c=13.876 alpha=90.00 beta=90.00 gamma=90.00
Positions (direct):
1 Rh 0.000 0.542 0.888
2 Rh 0.000 0.542 0.112
3 Rh 0.500 0.458 0.612
4 Rh 0.000 0.864 0.659
5 Rh 0.500 0.136 0.841
6 Rh 0.500 0.136 0.159
7 Rh 0.000 0.864 0.341
8 Rh 0.000 0.798 0.000
9 Rh 0.500 0.202 0.500
10 Rh 0.500 0.458 0.388
11 La 0.000 0.247 0.299
12 La 0.500 0.753 0.201
13 La 0.500 0.727 0.500
14 La 0.500 0.753 0.799
15 La 0.000 0.273 0.000
16 La 0.000 0.247 0.701
17 Sn 0.500 0.410 0.821
18 Sn 0.000 0.590 0.321
19 Sn 0.500 0.602 0.000
20 Sn 0.500 0.971 0.000
21 Sn 0.500 0.017 0.656
22 Sn 0.000 0.029 0.500
23 Sn 0.500 0.410 0.179
24 Sn 0.000 0.983 0.844
25 Sn 0.500 0.017 0.344
26 Sn 0.000 0.590 0.679
27 Sn 0.000 0.983 0.156
28 Sn 0.000 0.398 0.500

Summary:
**Formation enthalpy at 0 K**: -995 kJ/mol of formula units
**Density of states at the Fermi level**: 6.04 states/eV/f.u.
**Symmetry**: No. 59

La5Sn2Rh | GGA-PBE | optimized geometry

Unit cell a=4.848 b=8.293 c=12.697 alpha=90.00 beta=90.00 gamma=90.00
Positions (direct):
1 La 0.000 0.630 0.701
2 La 0.500 0.693 0.433
3 La 0.500 0.193 0.067
4 La 0.500 0.807 0.933
5 La 0.500 0.307 0.567
6 La 0.000 0.000 0.500
7 La 0.000 0.500 0.000
8 La 0.000 0.130 0.799
9 La 0.000 0.370 0.299
10 La 0.000 0.870 0.201
11 Sn 0.500 0.917 0.671
12 Sn 0.500 0.583 0.171
13 Sn 0.500 0.417 0.829
14 Sn 0.500 0.083 0.329
15 Rh 0.000 0.000 0.000
16 Rh 0.000 0.500 0.500

Summary:
**Formation enthalpy at 0 K**: -550 kJ/mol of formula units
**Density of states at the Fermi level**: 9.08 states/eV/f.u.
**Symmetry**: No. 55

La4SnRh2 | GGA-PBE | optimized geometry

Unit cell a=9.021 b=9.021 c=7.270 alpha=107.47 beta=107.46 gamma=121.50
Positions (direct):
1 Rh 0.475 0.400 0.628
2 Rh 0.821 0.888 0.451
3 Rh 0.650 0.224 0.127
4 Rh 0.137 0.570 0.951
5 La 0.779 0.183 0.785
6 La 0.272 0.089 0.729
7 La 0.495 0.785 0.928
8 La 0.434 0.529 0.286
9 La 0.338 0.022 0.228
10 La 0.035 0.245 0.428
11 La 0.805 0.624 0.082
12 La 0.874 0.555 0.582
13 Sn 0.205 0.681 0.398
14 Sn 0.930 0.953 0.897

Summary:
**Formation enthalpy at 0 K**: -466 kJ/mol of formula units
**Density of states at the Fermi level**: 6.13 states/eV/f.u.
**Symmetry**: No. 1

La2Sn3Rh | GGA-PBE | optimized geometry

Unit cell a=4.225 b=4.840 c=8.069 alpha=90.00 beta=90.00 gamma=90.00
Positions (direct):
1 Sn 0.500 0.000 0.833
2 Sn 0.500 0.000 0.184
3 Sn 0.500 0.500 0.644
4 La 0.000 0.500 0.030
5 La 0.000 0.000 0.493
6 Rh 0.500 0.500 0.316

Summary:
**Formation enthalpy at 0 K**: -410 kJ/mol of formula units
**Density of states at the Fermi level**: 2.90 states/eV/f.u.
**ΔE to the lowest computed polymorph**: 0.17 eV/f.u.
**Symmetry**: No. 25

La2Sn4Rh | GGA-PBE | optimized geometry

Unit cell a=5.023 b=5.023 c=8.997 alpha=73.79 beta=73.79 gamma=90.00
Positions (direct):
1 La 0.354 0.354 0.291
2 La 0.646 0.646 0.709
3 Rh 0.000 0.000 0.000
4 Sn 0.836 0.836 0.328
5 Sn 0.500 0.000 0.000
6 Sn 0.164 0.164 0.672
7 Sn 0.000 0.500 0.000

Summary:
**Formation enthalpy at 0 K**: -282 kJ/mol of formula units
**Density of states at the Fermi level**: 6.04 states/eV/f.u.
**Symmetry**: No. 139

La3Sn3Rh2 | GGA-PBE | optimized geometry

Unit cell a=5.952 b=8.690 c=16.019 alpha=90.00 beta=90.00 gamma=90.00
Positions (direct):
1 Rh 0.367 0.413 0.610
2 Rh 0.133 0.913 0.610
3 Rh 0.867 0.087 0.390
4 Rh 0.867 0.087 0.110
5 Rh 0.633 0.587 0.390
6 Rh 0.367 0.413 0.890
7 Rh 0.133 0.913 0.890
8 Rh 0.633 0.587 0.110
9 Sn 0.886 0.811 0.034
10 Sn 0.386 0.689 0.966
11 Sn 0.114 0.189 0.966
12 Sn 0.614 0.311 0.034
13 Sn 0.114 0.189 0.534
14 Sn 0.885 0.823 0.750
15 Sn 0.385 0.677 0.250
16 Sn 0.614 0.311 0.466
17 Sn 0.386 0.689 0.534
18 Sn 0.615 0.323 0.750
19 Sn 0.886 0.811 0.466
20 Sn 0.115 0.177 0.250
21 La 0.387 0.968 0.389
22 La 0.613 0.032 0.889
23 La 0.613 0.032 0.611
24 La 0.887 0.532 0.889
25 La 0.128 0.167 0.750
26 La 0.872 0.833 0.250
27 La 0.372 0.667 0.750
28 La 0.387 0.968 0.111
29 La 0.628 0.333 0.250
30 La 0.113 0.468 0.111
31 La 0.887 0.532 0.611
32 La 0.113 0.468 0.389

Summary:
**Formation enthalpy at 0 K**: -627 kJ/mol of formula units
**Density of states at the Fermi level**: 7.14 states/eV/f.u.
**Symmetry**: No. 62

La2Sn2Rh | GGA-PBE | optimized geometry

Unit cell a=4.157 b=4.157 c=8.313 alpha=75.52 beta=75.52 gamma=90.00
Positions (direct):
1 La 0.250 0.750 0.500
2 La 0.750 0.250 0.500
3 Rh 0.000 0.000 0.000
4 Sn 0.585 0.585 0.830
5 Sn 0.415 0.415 0.170

Summary:
**Formation enthalpy at 0 K**: 161 kJ/mol of formula units
**Density of states at the Fermi level**: 5.24 states/eV/f.u.
**Symmetry**: No. 139

LaSn12Rh6 | GGA-PBE | optimized geometry

Unit cell a=7.930 b=7.930 c=7.930 alpha=106.26 beta=106.26 gamma=106.26
Positions (direct):
1 Rh 0.718 0.718 0.298
2 Rh 0.298 0.718 0.718
3 Rh 0.718 0.298 0.718
4 Rh 0.282 0.702 0.282
5 Rh 0.282 0.282 0.702
6 Rh 0.702 0.282 0.282
7 Sn 0.145 0.400 0.400
8 Sn 0.121 0.879 0.500
9 Sn 0.500 0.879 0.121
10 Sn 0.600 0.855 0.600
11 Sn 0.400 0.400 0.145
12 Sn 0.855 0.600 0.600
13 Sn 0.600 0.600 0.855
14 Sn 0.400 0.145 0.400
15 Sn 0.879 0.500 0.121
16 Sn 0.500 0.121 0.879
17 Sn 0.121 0.500 0.879
18 Sn 0.879 0.121 0.500
19 La 0.000 0.000 0.000

Summary:
**Formation enthalpy at 0 K**: -604 kJ/mol of formula units
**Density of states at the Fermi level**: 13.34 states/eV/f.u.
**Symmetry**: No. 166

La2Sn6Rh | GGA-PBE | optimized geometry

Unit cell a=4.479 b=4.553 c=12.366 alpha=90.00 beta=100.43 gamma=90.00
Positions (direct):
1 Sn 0.718 0.000 0.435
2 Sn 0.882 0.500 0.764
3 Sn 0.599 0.000 0.197
4 Sn 0.458 0.500 0.917
5 Sn 0.216 0.500 0.432
6 Sn 0.097 0.500 0.193
7 La 0.329 0.000 0.659
8 La 0.994 0.000 0.988
9 Rh 0.776 0.500 0.551

Summary:
**Formation enthalpy at 0 K**: -501 kJ/mol of formula units
**Density of states at the Fermi level**: 5.05 states/eV/f.u.
**ΔE to the lowest computed polymorph**: 0.00 eV/f.u.
**Symmetry**: No. 38

no.,DFT total energy (eV/atom)
1,-5.959
2,-6.085
3,-5.606
4,-6.133
5,-5.712
6,-6.178
7,-5.577
8,-5.164
9,-5.999
10,-4.710
11,-5.439
12,-5.157